Entry 1:
VASP calculation (PBE) on a relaxed NdSm6Sc2 crystal.

a = 12.1016 Å, b = 7.3134 Å, c = 7.3134 Å
α = 87.06°, β = 70.84°, γ = 70.84°
Element x y z (fractional)
Nd: 0.2500 0.0456 0.9544
Sm: 0.8495 0.3632 0.7742
Sm: 0.3954 0.2291 0.5061
Sm: 0.1046 0.4939 0.7709
Sm: 0.9325 0.0477 0.2614
Sc: 0.3659 0.6047 0.7710
Sm: 0.1505 0.6368 0.2258
Sc: 0.6341 0.3953 0.2290
Sm: 0.3495 0.7742 0.3632
Sm: 0.0675 0.9523 0.7386
Nd: 0.7500 0.9544 0.0456
Sm: 0.8954 0.5061 0.2291
Sm: 0.4325 0.2614 0.0477
Sm: 0.6505 0.2258 0.6368
Sm: 0.5675 0.7386 0.9523
Sc: 0.8659 0.7710 0.6047
Sm: 0.6046 0.7709 0.4939
Sc: 0.1341 0.2290 0.3953

- Energy relative to the elements: 0.186 eV/atom
- Symmetry: C2/c, No. 15
- E above lowest polymorph: 0 meV/atom
- Density of states at the Fermi level: 1.534 states/eV per atom

***

Entry 2:
VASP calculation (PBE) on a relaxed Nd4SmSc3 crystal.

a = 3.4713 Å, b = 5.7202 Å, c = 17.3223 Å
α = 127.45°, β = 95.75°, γ = 90.00°
Element x y z (fractional)
Nd: 0.6891 0.6946 0.3782
Nd: 0.6007 0.8710 0.2014
Nd: 0.3993 0.1290 0.7986
Nd: 0.3109 0.3054 0.6218
Sc: 0.2060 0.2528 0.4121
Sm: 0.5000 0.0000 0.0000
Sc: 0.7940 0.7472 0.5879
Sc: 0.0000 0.5000 0.0000

- Energy relative to the elements: 0.284 eV/atom
- Symmetry: C2/m, No. 12
- Density of states at the Fermi level: 1.856 states/eV per atom

***

Entry 3:
VASP calculation (PBE) on a relaxed Nd2Sm8Sc crystal.

a = 6.7614 Å, b = 10.0802 Å, c = 10.0802 Å
α = 39.31°, β = 60.49°, γ = 60.49°
Element x y z (fractional)
Nd: 0.4349 0.1862 0.1862
Sm: 0.2695 0.4060 0.4060
Sm: 0.7305 0.5940 0.5940
Sm: 0.8353 0.2442 0.2442
Sm: 0.2269 0.8212 0.3409
Sm: 0.1647 0.7558 0.7558
Sm: 0.7731 0.1788 0.6591
Nd: 0.5651 0.8138 0.8138
Sm: 0.7731 0.6591 0.1788
Sc: 0.0000 0.0000 0.0000
Sm: 0.2269 0.3409 0.8212

- Energy relative to the elements: 0.161 eV/atom
- Symmetry: C2/m, No. 12
- E above lowest polymorph: 133 meV/atom
- Density of states at the Fermi level: 1.609 states/eV per atom

***

Entry 4:
VASP calculation (PBE) on a relaxed Nd12Sm2Sc crystal.

a = 6.6929 Å, b = 6.6929 Å, c = 24.4253 Å
α = 90.00°, β = 90.00°, γ = 90.00°
Element x y z (fractional)
Sc: 0.5000 0.0000 0.0000
Sm: 0.5000 0.0000 0.2447
Nd: 0.8332 0.6668 0.4359
Sm: 0.0000 0.5000 0.2447
Nd: 0.3332 0.1668 0.5641
Nd: 0.7515 0.2515 0.0993
Nd: 0.2515 0.7515 0.9007
Nd: 0.7515 0.7485 0.9007
Sm: 0.5000 0.0000 0.7553
Nd: 0.6668 0.1668 0.4359
Nd: 0.6668 0.8332 0.5641
Sc: 0.0000 0.5000 0.0000
Nd: 0.0000 0.0000 0.7978
Nd: 0.0000 0.0000 0.6708
Nd: 0.2485 0.2515 0.9007
Nd: 0.0000 0.0000 0.2022
Nd: 0.5000 0.5000 0.3292
Nd: 0.2485 0.7485 0.0993
Nd: 0.7485 0.2485 0.9007
Nd: 0.5000 0.5000 0.2022
Nd: 0.2515 0.2485 0.0993
Nd: 0.1668 0.6668 0.5641
Nd: 0.7485 0.7515 0.0993
Nd: 0.0000 0.0000 0.3292
Nd: 0.5000 0.5000 0.6708
Nd: 0.5000 0.5000 0.7978
Nd: 0.1668 0.3332 0.4359
Nd: 0.8332 0.3332 0.5641
Sm: 0.0000 0.5000 0.7553
Nd: 0.3332 0.8332 0.4359

- Energy relative to the elements: 0.344 eV/atom
- Symmetry: P4/nbm, No. 125
- Density of states at the Fermi level: 1.379 states/eV per atom

***

Entry 5:
VASP calculation (PBE) on a relaxed Nd2Sm3Sc crystal.

a = 6.1993 Å, b = 9.4862 Å, c = 10.7780 Å
α = 129.05°, β = 125.40°, γ = 77.31°
Element x y z (fractional)
Sm: 0.2896 0.6225 0.5808
Nd: 0.4657 0.1187 0.9157
Nd: 0.2138 0.8766 0.4172
Sm: 0.6272 0.6240 0.2521
Sm: 0.0412 0.3650 0.0802
Nd: 0.5343 0.8813 0.0843
Nd: 0.7862 0.1234 0.5828
Sc: 0.8776 0.8744 0.7533
Sm: 0.3728 0.3760 0.7479
Sm: 0.7104 0.3775 0.4192
Sc: 0.1224 0.1256 0.2467
Sm: 0.9588 0.6350 0.9198

- Energy relative to the elements: 0.037 eV/atom
- Symmetry: P-1, No. 2
- E above lowest polymorph: 0 meV/atom
- Density of states at the Fermi level: 1.412 states/eV per atom

***

Entry 6:
VASP calculation (PBE) on a relaxed NdSm3Sc7 crystal.

a = 5.5014 Å, b = 8.0452 Å, c = 8.0452 Å
α = 82.23°, β = 109.97°, γ = 109.97°
Element x y z (fractional)
Sm: 0.0000 0.2131 0.7869
Sc: 0.7206 0.4091 0.0320
Sc: 0.0000 0.5000 0.5000
Sc: 0.2794 0.5909 0.9680
Sm: 0.0000 0.7869 0.2131
Sm: 0.5000 0.0000 0.0000
Sc: 0.2794 0.9680 0.5909
Sc: 0.7936 0.7935 0.7935
Sc: 0.2064 0.2065 0.2065
Nd: 0.5000 0.5000 0.5000
Sc: 0.7206 0.0320 0.4091

- Energy relative to the elements: 0.287 eV/atom
- Symmetry: Immm, No. 71
- Density of states at the Fermi level: 1.417 states/eV per atom

***

Entry 7:
VASP calculation (PBE) on a relaxed Nd7SmSc2 crystal.

a = 5.6423 Å, b = 8.9667 Å, c = 8.9667 Å
α = 119.58°, β = 90.00°, γ = 90.00°
Element x y z (fractional)
Nd: 0.5000 0.6952 0.9387
Nd: 0.5000 0.3048 0.0613
Nd: 0.0000 0.7502 0.2498
Sm: 0.0000 0.0000 0.0000
Nd: 0.5000 0.9387 0.6952
Sc: 0.5000 0.7023 0.2977
Nd: 0.0000 0.2498 0.7502
Nd: 0.5000 0.0613 0.3048
Sc: 0.5000 0.2977 0.7023
Nd: 0.5000 0.5000 0.5000

- Energy relative to the elements: 0.595 eV/atom
- Symmetry: Cmmm, No. 65
- Density of states at the Fermi level: 1.397 states/eV per atom

***

Entry 8:
VASP calculation (PBE) on a relaxed NdSm9Sc2 crystal.

a = 5.0510 Å, b = 5.0510 Å, c = 15.1473 Å
α = 90.00°, β = 90.00°, γ = 90.00°
Element x y z (fractional)
Nd: 0.0000 0.0000 0.0000
Sm: 0.5000 0.5000 0.6626
Sm: 0.5000 0.5000 0.0000
Sm: 0.0000 0.5000 0.8271
Sc: 0.0000 0.0000 0.3364
Sm: 0.5000 0.0000 0.1729
Sm: 0.5000 0.5000 0.3374
Sm: 0.0000 0.5000 0.5000
Sm: 0.5000 0.0000 0.5000
Sm: 0.0000 0.5000 0.1729
Sc: 0.0000 0.0000 0.6636
Sm: 0.5000 0.0000 0.8271

- Energy relative to the elements: 0.037 eV/atom
- Symmetry: P4/mmm, No. 123
- Density of states at the Fermi level: 1.647 states/eV per atom

***

- Look up the density of states at the Fermi level of the eighth one.
  1.647 states/eV per atom

***

- Which of these has the lowest density of states at the Fermi level?
  Nd12Sm2Sc

***

- Which of these has the lowest density of states at the Fermi level?
  Nd12Sm2Sc